No. 1
{
  "formula": "Dy2LuPd",
  "functional": "PBE",
  "state": "relaxed",
  "delta_e_f_ev_per_atom": -0.40,
  "dos_at_fermi_per_ev_atom": 1.24,
  "e_above_lowest_polymorph_mev_per_atom": 0,
  "lattice": [[3.567, 0.000, 0.000], [0.000, 3.567, 0.000], [0.000, 0.000, 8.244]],
  "species": ["Dy", "Dy", "Lu", "Pd"],
  "fractional_positions": [[0.000, 0.000, 0.204], [0.000, 0.000, 0.796], [0.500, 0.500, 0.500], [0.500, 0.500, 0.000]]
}

No. 2
{
  "formula": "DyLu2Pd",
  "functional": "PBE",
  "state": "relaxed",
  "delta_e_f_ev_per_atom": -0.45,
  "dos_at_fermi_per_ev_atom": 1.20,
  "e_above_lowest_polymorph_mev_per_atom": 0,
  "lattice": [[3.506, 0.000, 0.000], [0.000, 3.506, 0.000], [0.000, 0.000, 8.286]],
  "species": ["Dy", "Lu", "Lu", "Pd"],
  "fractional_positions": [[0.000, 0.000, 0.000], [0.500, 0.500, 0.301], [0.500, 0.500, 0.699], [0.000, 0.000, 0.500]]
}

No. 3
{
  "formula": "DyLuPd2",
  "functional": "PBE",
  "state": "relaxed",
  "delta_e_f_ev_per_atom": -0.75,
  "dos_at_fermi_per_ev_atom": 0.83,
  "e_above_lowest_polymorph_mev_per_atom": 176,
  "lattice": [[2.028, 1.171, 6.546], [-2.028, 1.171, 6.546], [0.000, -2.341, 6.546]],
  "species": ["Dy", "Lu", "Pd", "Pd"],
  "fractional_positions": [[0.000, 0.000, 0.000], [0.500, 0.500, 0.500], [0.247, 0.247, 0.247], [0.753, 0.753, 0.753]]
}

No. 4
{
  "formula": "DyLuPd",
  "functional": "PBE",
  "state": "relaxed",
  "delta_e_f_ev_per_atom": -0.42,
  "dos_at_fermi_per_ev_atom": 0.88,
  "e_above_lowest_polymorph_mev_per_atom": 162,
  "lattice": [[4.754, 0.000, 0.000], [-2.377, 4.117, 0.000], [0.000, 0.000, 3.724]],
  "species": ["Dy", "Lu", "Pd"],
  "fractional_positions": [[0.000, 0.000, 0.000], [0.333, 0.667, 0.472], [0.667, 0.333, 0.693]]
}